Computed, not measured: crystalline BaSrLi2Hg4 at its relaxed geometry at the PBE-GGA level of DFT.

Properties
Its space group is R-3m (166). The electronic total energy is -1.495 eV per atom. For the total magnetic moment, the calculation gives 0.000 μB per cell.

a = 4.942 Å, b = 4.942 Å, c = 11.259 Å
α = 77.32°, β = 77.32°, γ = 60.00°
Sites, in units of the cell vectors:
Li (0.756, 0.756, 0.733)
Li (0.244, 0.244, 0.267)
Hg (0.108, 0.108, 0.675)
Hg (0.398, 0.398, 0.805)
Hg (0.892, 0.892, 0.325)
Hg (0.602, 0.602, 0.195)
Sr (0.500, 0.500, 0.500)
Ba (0.000, 0.000, 0.000)